# Zr4CuTc3 PBE-GGA optimized geometry
# **E_tot**: -9.000 eV per atom
data_Zr4CuTc3
_space_group_name_H-M_alt 'P m m m'
_space_group_IT_number 47
_cell_length_a 3.327
_cell_length_b 4.663
_cell_length_c 9.217
_cell_angle_alpha 90.00
_cell_angle_beta 90.00
_cell_angle_gamma 90.00
loop_
_space_group_symop_operation_xyz
'x,y,z'
'-x,-y,-z'
'-x,-y,z'
'x,y,-z'
'x,-y,-z'
'-x,y,z'
'-x,y,-z'
'x,-y,z'
loop_
_atom_site_label
_atom_site_type_symbol
_atom_site_fract_x
_atom_site_fract_y
_atom_site_fract_z
Zr1 Zr 0.000 0.000 0.000
Zr2 Zr 0.000 0.000 0.500
Zr3 Zr 0.000 0.500 0.246
Cu1 Cu 0.500 0.500 0.500
Tc1 Tc 0.500 0.000 0.256
Tc2 Tc 0.500 0.500 0.000

# La2Ag2Pd PBE-GGA optimized geometry
# **E_tot**: -4.310 eV per atom
# **E above lowest polymorph**: 294.8 meV per atom
data_La2Ag2Pd
_space_group_name_H-M_alt 'P 4/m b m'
_space_group_IT_number 127
_space_group_name_Hall '-P 4 2ab'
_cell_length_a 7.992
_cell_length_b 7.992
_cell_length_c 4.406
_cell_angle_alpha 90.00
_cell_angle_beta 90.00
_cell_angle_gamma 90.00
loop_
_atom_site_label
_atom_site_type_symbol
_atom_site_fract_x
_atom_site_fract_y
_atom_site_fract_z
La1 La 0.173 0.327 0.000
Ag1 Ag 0.126 0.626 0.500
Pd1 Pd 0.000 0.000 0.000

# SrSc2Cl PBE-GGA optimized geometry
# **E_tot**: -4.313 eV per atom
# **E above lowest polymorph**: 311.5 meV per atom
# **Raw formation energy**: -0.265 eV/atom
data_SrSc2Cl
_space_group_name_H-M_alt 'I -4 2 d'
_space_group_IT_number 122
_space_group_name_Hall 'I -4 2bw'
_cell_length_a 8.617
_cell_length_b 8.617
_cell_length_c 6.032
_cell_angle_alpha 90.00
_cell_angle_beta 90.00
_cell_angle_gamma 90.00
loop_
_atom_site_label
_atom_site_type_symbol
_atom_site_fract_x
_atom_site_fract_y
_atom_site_fract_z
Sr1 Sr 0.000 0.000 0.000
Sc1 Sc 0.153 0.250 0.625
Cl1 Cl 0.000 0.000 0.500

# HoTmAlIr PBE-GGA optimized geometry
# **E_tot**: -6.017 eV per atom
data_HoTmAlIr
_space_group_name_H-M_alt 'F -4 3 m'
_space_group_IT_number 216
_space_group_name_Hall 'F -4 2 3'
_cell_length_a 6.967
_cell_length_b 6.967
_cell_length_c 6.967
_cell_angle_alpha 90.00
_cell_angle_beta 90.00
_cell_angle_gamma 90.00
loop_
_atom_site_label
_atom_site_type_symbol
_atom_site_fract_x
_atom_site_fract_y
_atom_site_fract_z
Ho1 Ho 0.000 0.000 0.000
Tm1 Tm 0.000 0.000 0.500
Al1 Al 0.250 0.250 0.250
Ir1 Ir 0.250 0.250 0.750

# Tl2SiPt PBE-GGA optimized geometry
# **E_tot**: -3.639 eV per atom
# **Raw formation energy**: 0.410 eV/atom
data_Tl2SiPt
_space_group_name_H-M_alt 'C 1 2/m 1'
_space_group_IT_number 12
_cell_length_a 6.350
_cell_length_b 8.313
_cell_length_c 3.297
_cell_angle_alpha 90.00
_cell_angle_beta 100.68
_cell_angle_gamma 90.00
loop_
_space_group_symop_operation_xyz
'x,y,z'
'-x,-y,-z'
'-x,y,-z'
'x,-y,z'
'x+1/2,y+1/2,z'
'-x+1/2,-y+1/2,-z'
'-x+1/2,y+1/2,-z'
'x+1/2,-y+1/2,z'
loop_
_atom_site_label
_atom_site_type_symbol
_atom_site_fract_x
_atom_site_fract_y
_atom_site_fract_z
Tl1 Tl 0.250 0.250 0.000
Si1 Si 0.000 0.000 0.500
Pt1 Pt 0.000 0.500 0.500

# LaMg2ScRh PBE-GGA optimized geometry
# **E_tot**: -4.666 eV per atom
data_LaMg2ScRh
_space_group_name_H-M_alt 'P 4/m m m'
_space_group_IT_number 123
_space_group_name_Hall '-P 4 2'
_cell_length_a 5.121
_cell_length_b 5.121
_cell_length_c 4.832
_cell_angle_alpha 90.00
_cell_angle_beta 90.00
_cell_angle_gamma 90.00
loop_
_atom_site_label
_atom_site_type_symbol
_atom_site_fract_x
_atom_site_fract_y
_atom_site_fract_z
La1 La 0.000 0.000 0.000
Mg1 Mg 0.000 0.500 0.500
Sc1 Sc 0.500 0.500 0.000
Rh1 Rh 0.500 0.500 0.500

# Hg2IrBr PBE-GGA optimized geometry
# **E_tot**: -2.191 eV per atom
# **E above lowest polymorph**: 283.7 meV per atom
# **Raw formation energy**: 0.594 eV/atom
data_Hg2IrBr
_space_group_name_H-M_alt 'P 4 m m'
_space_group_IT_number 99
_cell_length_a 3.146
_cell_length_b 3.146
_cell_length_c 9.168
_cell_angle_alpha 90.00
_cell_angle_beta 90.00
_cell_angle_gamma 90.00
loop_
_space_group_symop_operation_xyz
'x,y,z'
'-y,x,z'
'-x,-y,z'
'y,-x,z'
'-x,y,z'
'y,x,z'
'x,-y,z'
'-y,-x,z'
loop_
_atom_site_label
_atom_site_type_symbol
_atom_site_fract_x
_atom_site_fract_y
_atom_site_fract_z
Hg1 Hg 0.000 0.000 0.000
Hg2 Hg 0.500 0.500 0.283
Ir1 Ir 0.000 0.000 0.478
Br1 Br 0.500 0.500 0.670

# CeTmMgRe PBE-GGA optimized geometry
# **E_tot**: -6.019 eV per atom
data_CeTmMgRe
_space_group_name_H-M_alt 'F -4 3 m'
_space_group_IT_number 216
_space_group_name_Hall 'F -4 2 3'
_cell_length_a 7.094
_cell_length_b 7.094
_cell_length_c 7.094
_cell_angle_alpha 90.00
_cell_angle_beta 90.00
_cell_angle_gamma 90.00
loop_
_atom_site_label
_atom_site_type_symbol
_atom_site_fract_x
_atom_site_fract_y
_atom_site_fract_z
Ce1 Ce 0.000 0.000 0.000
Tm1 Tm 0.000 0.000 0.500
Mg1 Mg 0.250 0.250 0.750
Re1 Re 0.250 0.250 0.250

- What is the formula in the fifth record?
  Tl2SiPt

- Which of these has the lowest E_tot?
  Zr4CuTc3